(1)
# BaSb2Te (PBE-GGA, optimized geometry)
# raw formation energy: -0.71 eV per atom
data_BaSb2Te
_cell_length_a 4.941
_cell_length_b 4.619
_cell_length_c 6.923
_cell_angle_alpha 90.00
_cell_angle_beta 109.59
_cell_angle_gamma 90.00
_symmetry_space_group_name_H-M 'P 1 m 1'
_symmetry_Int_Tables_number 6
_symmetry_space_group_name_Hall 'P -2y'
loop_
_atom_site_label
_atom_site_fract_x
_atom_site_fract_y
_atom_site_fract_z
Ba1 0.000 0.000 0.000
Sb1 0.367 0.500 0.455
Sb2 0.727 0.000 0.433
Te1 0.448 0.500 0.881

***

(2)
# PrSm5Dy3 (PBE-GGA, optimized geometry)
# ΔH_f (0 K): 0.174 eV/atom
# distance to the lowest polymorph of the same formula: 0.000 eV/atom
data_PrSm5Dy3
_cell_length_a 16.438
_cell_length_b 6.778
_cell_length_c 11.588
_cell_angle_alpha 90.00
_cell_angle_beta 109.74
_cell_angle_gamma 90.00
_symmetry_space_group_name_H-M 'C 1 2/c 1'
_symmetry_Int_Tables_number 15
_symmetry_space_group_name_Hall '-C 2yc'
loop_
_atom_site_label
_atom_site_fract_x
_atom_site_fract_y
_atom_site_fract_z
Pr1 0.000 0.238 0.250
Sm1 0.000 0.315 0.750
Sm2 0.110 0.497 0.050
Sm3 0.173 0.098 0.853
Dy1 0.000 0.000 0.000
Dy2 0.240 0.396 0.370

***

(3)
# YErPdAu (PBE-GGA, optimized geometry)
# ΔH_f (0 K): -0.915 eV/atom
# distance to the lowest polymorph of the same formula: 0.000 eV/atom
data_YErPdAu
_cell_length_a 4.658
_cell_length_b 3.730
_cell_length_c 10.629
_cell_angle_alpha 90.00
_cell_angle_beta 90.00
_cell_angle_gamma 90.00
_symmetry_space_group_name_H-M 'A m m 2'
_symmetry_Int_Tables_number 38
_symmetry_space_group_name_Hall 'A 2 -2'
loop_
_atom_site_label
_atom_site_fract_x
_atom_site_fract_y
_atom_site_fract_z
Y1 0.000 0.000 0.000
Er1 0.500 0.000 0.723
Pd1 0.000 0.000 0.273
Au1 0.500 0.000 0.445

***

(4)
# Ac4NdY3Se8 (PBE-GGA, optimized geometry)
# raw formation energy: -1.81 eV per atom
data_Ac4NdY3Se8
_cell_length_a 8.4364
_cell_length_b 8.4364
_cell_length_c 21.7981
_cell_angle_alpha 90.00
_cell_angle_beta 90.00
_cell_angle_gamma 120.00
_symmetry_space_group_name_H-M 'R -3 m'
_symmetry_Int_Tables_number 166
_symmetry_space_group_name_Hall '-R 3 2"'
loop_
_atom_site_label
_atom_site_fract_x
_atom_site_fract_y
_atom_site_fract_z
Ac1 0.0000 0.0000 0.0000
Ac2 0.0000 0.5000 0.0000
Nd1 0.0000 0.0000 0.5000
Y1 0.0000 0.5000 0.5000
Se1 0.0000 0.0000 0.2402
Se2 0.0065 0.5032 0.7585

***

(5)
# PaBi3Pb2 (PBE-GGA, optimized geometry)
# ΔH_f (0 K): -0.048 eV/atom
data_PaBi3Pb2
_cell_length_a 4.925
_cell_length_b 4.349
_cell_length_c 9.058
_cell_angle_alpha 90.00
_cell_angle_beta 105.45
_cell_angle_gamma 90.00
_symmetry_space_group_name_H-M 'P 1 2/m 1'
_symmetry_Int_Tables_number 10
_symmetry_space_group_name_Hall '-P 2y'
loop_
_atom_site_label
_atom_site_fract_x
_atom_site_fract_y
_atom_site_fract_z
Pa1 0.000 0.000 0.000
Bi1 0.141 0.500 0.285
Bi2 0.500 0.500 0.000
Pb1 0.331 0.000 0.657

***

(6)
# Ac2CeDy (PBE-GGA, optimized geometry)
# ΔH_f (0 K): 0.281 eV/atom
# distance to the lowest polymorph of the same formula: 0.166 eV/atom
data_Ac2CeDy
_cell_length_a 3.6946
_cell_length_b 3.6946
_cell_length_c 39.1459
_cell_angle_alpha 90.00
_cell_angle_beta 90.00
_cell_angle_gamma 120.00
_symmetry_space_group_name_H-M 'R -3 m'
_symmetry_Int_Tables_number 166
_symmetry_space_group_name_Hall '-R 3 2"'
loop_
_atom_site_label
_atom_site_fract_x
_atom_site_fract_y
_atom_site_fract_z
Ac1 0.0000 0.0000 0.0888
Ce1 0.0000 0.0000 0.0000
Dy1 0.0000 0.0000 0.5000

***

(7)
# Li4NiAu (PBE-GGA, optimized geometry)
# ΔH_f (0 K): -0.011 eV/atom
data_Li4NiAu
_cell_length_a 6.815
_cell_length_b 6.815
_cell_length_c 6.815
_cell_angle_alpha 90.00
_cell_angle_beta 90.00
_cell_angle_gamma 90.00
_symmetry_space_group_name_H-M 'F -4 3 m'
_symmetry_Int_Tables_number 216
_symmetry_space_group_name_Hall 'F -4 2 3'
loop_
_atom_site_label
_atom_site_fract_x
_atom_site_fract_y
_atom_site_fract_z
Li1 0.125 0.125 0.125
Ni1 0.250 0.250 0.750
Au1 0.000 0.000 0.500

***

(8)
# NaCa2Mn2 (PBE-GGA, optimized geometry)
# ΔH_f (0 K): 0.673 eV/atom
# distance to the lowest polymorph of the same formula: 0.187 eV/atom
data_NaCa2Mn2
_cell_length_a 8.808
_cell_length_b 8.808
_cell_length_c 3.206
_cell_angle_alpha 90.00
_cell_angle_beta 90.00
_cell_angle_gamma 90.00
_symmetry_space_group_name_H-M 'P 4/m b m'
_symmetry_Int_Tables_number 127
_symmetry_space_group_name_Hall '-P 4 2ab'
loop_
_atom_site_label
_atom_site_fract_x
_atom_site_fract_y
_atom_site_fract_z
Na1 0.000 0.000 0.000
Ca1 0.196 0.304 0.000
Mn1 0.081 0.581 0.500

***

| no. | Fermi-level density of states (states/eV/atom) |
| --- | --- |
| 1 | 0.020 |
| 2 | 1.533 |
| 3 | 0.490 |
| 4 | 0.548 |
| 5 | 0.935 |
| 6 | 2.652 |
| 7 | 0.342 |
| 8 | 0.561 |